(1)
A relaxed structure of ZnCrRh. Source: Alexandria, functional PBE-GGA.

a b c (Å): 5.5912 5.5912 5.5912
angles (deg): 151.46 151.46 40.80
With the nearest neighbours (Å) after each atom.
Sites, in units of the cell vectors:
Zn  0.0000  0.0000  0.0000  4 Cr 2.64, 4 Rh 2.68, 4 Zn 2.76
Cr  0.6700  0.6700  0.0000  4 Rh 2.53, 4 Zn 2.64, 4 Cr 2.76
Rh  0.3242  0.3242  0.0000  4 Cr 2.53, 4 Zn 2.68, 4 Rh 2.76

Energy above the most stable polymorph in this dataset (meV/atom): 10
Energy of formation (kJ/mol of atoms): -5.7


(2)
A relaxed structure of AcHo3Pb3. Source: Alexandria, functional PBE-GGA.

a b c (Å): 9.5364 9.5364 5.5539
angles (deg): 90.00 90.00 120.00
With the nearest neighbours (Å) after each atom.
Sites, in units of the cell vectors:
Ac  0.3333  0.6667  0.2500  9 Pb 3.49-3.62, 3 Ho 3.75
Ac  0.6667  0.3333  0.7500  9 Pb 3.49-3.62, 3 Ho 3.75
Ho  0.0047  0.2313  0.2500  3 Pb 3.07-3.29
Ho  0.2266  0.9953  0.2500  3 Pb 3.07-3.29
Ho  0.2313  0.2266  0.7500  3 Pb 3.07-3.29
Ho  0.7687  0.7734  0.2500  3 Pb 3.07-3.29
Ho  0.7734  0.0047  0.7500  3 Pb 3.07-3.29
Ho  0.9953  0.7687  0.7500  3 Pb 3.07-3.29
Pb  0.0747  0.4403  0.7500  3 Ho 3.07-3.29
Pb  0.3657  0.9253  0.7500  3 Ho 3.07-3.29
Pb  0.4403  0.3657  0.2500  3 Ho 3.07-3.29
Pb  0.5597  0.6343  0.7500  3 Ho 3.07-3.29
Pb  0.6343  0.0747  0.2500  3 Ho 3.07-3.29
Pb  0.9253  0.5597  0.2500  3 Ho 3.07-3.29

Energy of formation (kJ/mol of atoms): -35.8


(3)
A relaxed structure of NiSb2AuI. Source: Alexandria, functional PBE-GGA.

a b c (Å): 5.3749 5.3749 5.6142
angles (deg): 90.00 90.00 90.00
With the nearest neighbours (Å) after each atom.
Sites, in units of the cell vectors:
Ni  0.0000  0.0000  0.0000  4 I 3.80, 8 Sb 3.89
Sb  0.0000  0.5000  0.5000  2 Au 2.69
Sb  0.5000  0.0000  0.5000  2 Au 2.69
Au  0.5000  0.5000  0.5000  4 Sb 2.69, 2 I 2.81
I  0.5000  0.5000  0.0000  2 Au 2.81

Energy above the most stable polymorph in this dataset (meV/atom): 613
Energy relative to the elements, uncorrected (eV/atom): 1.0842


(4)
A relaxed structure of AsH2Pd2. Source: Alexandria, functional PBE-GGA.

a b c (Å): 6.9657 6.9657 2.8503
angles (deg): 90.00 90.00 90.00
With the nearest neighbours (Å) after each atom.
Sites, in units of the cell vectors:
As  0.0000  0.0000  0.0000  4 Pd 2.47
As  0.5000  0.5000  0.0000  4 Pd 2.47
H  0.1293  0.3707  0.5000  2 Pd 1.72
H  0.3707  0.8707  0.5000  2 Pd 1.72
H  0.6293  0.1293  0.5000  2 Pd 1.72
H  0.8707  0.6293  0.5000  2 Pd 1.72
Pd  0.2269  0.2731  0.0000  2 H 1.72
Pd  0.2731  0.7731  0.0000  2 H 1.72
Pd  0.7269  0.2269  0.0000  2 H 1.72
Pd  0.7731  0.7269  0.0000  2 H 1.72

Energy above the most stable polymorph in this dataset (meV/atom): 173


no.,DOS(E_F) (states/eV/cell)
1,2.65
2,15.86
3,10.53
4,3.77